1.
{"formula": "KAs2P", "functional": "SCAN", "state": "PBEsol geometry", "lattice_angstrom": [[2.947, 0.000, 0.000], [0.000, 4.775, 0.000], [0.000, 0.000, 6.010]], "species": ["K", "As", "As", "P"], "frac_coords": [[0.000, 0.000, 0.000], [0.500, 0.500, 0.299], [0.500, 0.500, 0.701], [0.500, 0.000, 0.500]], "mass_density_kg_m3": 4318, "dos_ef_per_ev_atom": 0.365, "final_energy_ev_per_atom": -14.760, "delta_e_f_mev_per_atom": 17}


2.
{"formula": "K7As4P", "functional": "SCAN", "state": "PBEsol geometry", "lattice_angstrom": [[10.272, 0.000, 0.000], [0.000, 8.951, 0.000], [0.000, 0.000, 8.268]], "species": ["K", "K", "K", "K", "K", "K", "K", "K", "K", "K", "K", "K", "K", "K", "As", "As", "As", "As", "As", "As", "As", "As", "P", "P"], "frac_coords": [[0.000, 0.021, 0.000], [0.000, 0.335, 0.771], [0.000, 0.862, 0.499], [0.215, 0.165, 0.321], [0.224, 0.522, 0.483], [0.276, 0.478, 0.983], [0.285, 0.835, 0.821], [0.500, 0.138, 0.999], [0.500, 0.665, 0.271], [0.500, 0.979, 0.500], [0.715, 0.835, 0.821], [0.724, 0.478, 0.983], [0.776, 0.522, 0.483], [0.785, 0.165, 0.321], [0.000, 0.418, 0.192], [0.000, 0.685, 0.826], [0.192, 0.797, 0.203], [0.308, 0.203, 0.703], [0.500, 0.315, 0.326], [0.500, 0.582, 0.692], [0.692, 0.203, 0.703], [0.808, 0.797, 0.203], [0.000, 0.670, 0.110], [0.500, 0.330, 0.610]], "mass_density_kg_m3": 2640, "final_energy_ev_per_atom": -12.916, "delta_e_f_mev_per_atom": -461}


3.
{"formula": "KAs2Pb2", "functional": "SCAN", "state": "PBEsol geometry", "lattice_angstrom": [[-2.493, 2.493, 6.061], [2.493, -2.493, 6.061], [2.493, 2.493, -6.061]], "species": ["K", "As", "As", "Pb", "Pb"], "frac_coords": [[0.000, 0.000, 0.000], [0.391, 0.391, 0.000], [0.609, 0.609, 0.000], [0.250, 0.750, 0.500], [0.750, 0.250, 0.500]], "mass_density_kg_m3": 6649, "dos_ef_per_ev_atom": 0.366, "final_energy_ev_per_atom": -40.225, "delta_e_f_mev_per_atom": -171}


4.
{"formula": "KAsPb3", "functional": "SCAN", "state": "PBEsol geometry", "lattice_angstrom": [[5.689, 0.000, 0.000], [0.000, 5.689, 0.000], [0.000, 0.000, 5.689]], "species": ["K", "As", "Pb", "Pb", "Pb"], "frac_coords": [[0.000, 0.000, 0.000], [0.500, 0.500, 0.500], [0.000, 0.500, 0.500], [0.500, 0.000, 0.500], [0.500, 0.500, 0.000]], "mass_density_kg_m3": 6634, "dos_ef_per_ev_atom": 1.024, "final_energy_ev_per_atom": -51.004, "delta_e_f_mev_per_atom": 169}


5.
{"formula": "KAs2Pb2", "functional": "SCAN", "state": "PBEsol geometry", "lattice_angstrom": [[-2.664, 2.664, 5.385], [2.664, -2.664, 5.385], [2.664, 2.664, -5.385]], "species": ["K", "As", "As", "Pb", "Pb"], "frac_coords": [[0.000, 0.000, 0.000], [0.250, 0.750, 0.500], [0.750, 0.250, 0.500], [0.351, 0.351, 0.000], [0.649, 0.649, 0.000]], "mass_density_kg_m3": 6556, "dos_ef_per_ev_atom": 0.626, "final_energy_ev_per_atom": -40.188, "delta_e_f_mev_per_atom": -133}


6.
{"formula": "KAsPb2", "functional": "SCAN", "state": "PBEsol geometry", "lattice_angstrom": [[-1.898, 2.773, 5.554], [1.898, -2.773, 5.554], [1.898, 2.773, -5.554]], "species": ["K", "As", "Pb", "Pb"], "frac_coords": [[0.000, 0.000, 0.000], [0.500, 0.500, 0.000], [0.300, 0.800, 0.500], [0.700, 0.200, 0.500]], "mass_density_kg_m3": 7506, "dos_ef_per_ev_atom": 0.470, "final_energy_ev_per_atom": -45.200, "delta_e_f_mev_per_atom": -180}


7.
{"formula": "KAs2Pb", "functional": "SCAN", "state": "PBEsol geometry", "lattice_angstrom": [[0.000, 3.668, 3.668], [3.668, 0.000, 3.668], [3.668, 3.668, 0.000]], "species": ["K", "As", "As", "Pb"], "frac_coords": [[0.000, 0.000, 0.000], [0.250, 0.250, 0.250], [0.500, 0.500, 0.500], [0.750, 0.750, 0.750]], "mass_density_kg_m3": 6662, "dos_ef_per_ev_atom": 0.603, "final_energy_ev_per_atom": -30.912, "delta_e_f_mev_per_atom": 211}


8.
{"formula": "K2AsPd", "functional": "SCAN", "state": "PBEsol geometry", "lattice_angstrom": [[-6.152, 6.152, 2.303], [6.152, -6.152, 2.303], [6.152, 6.152, -2.303]], "species": ["K", "K", "K", "K", "As", "As", "Pd", "Pd"], "frac_coords": [[0.375, 0.132, 0.257], [0.868, 0.125, 0.243], [0.875, 0.118, 0.743], [0.882, 0.625, 0.757], [0.250, 0.750, 0.500], [0.500, 0.500, 0.000], [0.000, 0.000, 0.000], [0.750, 0.250, 0.500]], "mass_density_kg_m3": 2472, "dos_ef_per_ev_atom": 0.330, "final_energy_ev_per_atom": -17.769, "delta_e_f_mev_per_atom": -364}